Density functional theory data (PBE) for a relaxed Ag4HgF7 crystal.

The size of the total moment is 0.74 μB per formula unit. The value obtained for the uncorrected formation energy is -108 kJ per mole of atoms.

a = 3.4180 Å, b = 5.9846 Å, c = 10.0831 Å
α = 107.23°, β = 90.00°, γ = 106.59°
Site moments in Bohr magnetons follow the coordinates.
Fractional positions:
Ag 0.7020 0.4040 0.8099  0.06
Ag 0.2918 0.5835 0.1803  0.13
Ag 0.9961 0.9922 0.0027  0.15
Ag 0.1087 0.2174 0.4058  0.16
Hg 0.8941 0.7881 0.5831  0.00
F 0.7521 0.5041 0.3672  0.01
F 0.2614 0.5229 0.6263  0.02
F 0.3439 0.6878 0.9349  0.04
F 0.6487 0.2975 0.0663  0.06
F 0.0477 0.0954 0.7897  0.02
F 0.9427 0.8854 0.2146  0.08
F 0.5109 0.0218 0.5193  0.01